(1)
The following is a DFT calculation (GGA-PBE) of BaLa2Pt2 after structural relaxation.

For the formation enthalpy at 0 K, the calculation gives -0.809 eV per atom. The energy above the lowest structure with this stoichiometry comes out at 0 meV/atom.

The space group is P4/mbm (No. 127) and the conventional cell measures 8.420, 8.420 and 4.060 Å, with angles of 90.00, 90.00 and 90.00 degrees. The distinct sites, in fractional coordinates, are Ba at (0.000, 0.000, 0.000), La at (0.153, 0.347, 0.500) and Pt at (0.130, 0.630, 0.000).

(2)
The following is a DFT calculation (GGA-PBE) of Ho3B4C4 after structural relaxation.

For the formation enthalpy at 0 K, the calculation gives -0.021 eV per atom.

The space group is Amm2 (No. 38) and the conventional cell measures 8.643, 2.904 and 10.152 Å, with angles of 90.00, 90.00 and 90.00 degrees. The distinct sites, in fractional coordinates, are Ho at (0.000, 0.000, 0.000), Ho at (0.294, 0.000, 0.263), B at (0.000, 0.000, 0.266), B at (0.322, 0.000, 0.003), B at (0.500, 0.000, 0.643), C at (0.000, 0.000, 0.740), C at (0.240, 0.000, 0.502) and C at (0.500, 0.000, 0.074).